No. 1
A plane-wave DFT calculation with GGA-PBEsol was carried out for a relaxed Sr3Br crystal.

a = 5.626 Å, b = 5.626 Å, c = 5.626 Å
α = 90.00°, β = 90.00°, γ = 90.00°
Space group Pm-3m (No. 221)
Inequivalent atoms, fractional coordinates:
1 Sr 0.000 0.000 0.500 (multiplicity 3)
2 Br 0.500 0.500 0.500 (multiplicity 1)

Summary:
Uncorrected formation energy = -0.320 eV/atom

No. 2
A plane-wave DFT calculation with GGA-PBEsol was carried out for a relaxed Sr3Br2 crystal.

a = 4.1902 Å, b = 4.1902 Å, c = 11.8087 Å
α = 90.00°, β = 90.00°, γ = 120.00°
Space group P-3m1 (No. 164)
Inequivalent atoms, fractional coordinates:
1 Sr 0.0000 0.0000 0.0000 (multiplicity 1)
2 Sr 0.3333 0.6667 0.3603 (multiplicity 2)
3 Br 0.3333 0.6667 0.8390 (multiplicity 2)

Summary:
Uncorrected formation energy = -1.137 eV/atom

No. 3
A plane-wave DFT calculation with GGA-PBEsol was carried out for a relaxed SrBr2 crystal.

a = 11.512 Å, b = 11.512 Å, c = 7.061 Å
α = 90.00°, β = 90.00°, γ = 90.00°
Space group P4/n (No. 85, origin choice 2)
Inequivalent atoms, fractional coordinates:
1 Sr 0.087 0.898 0.248 (multiplicity 8)
2 Sr 0.250 0.250 0.144 (multiplicity 2)
3 Br 0.039 0.155 0.373 (multiplicity 8)
4 Br 0.042 0.338 0.897 (multiplicity 8)
5 Br 0.250 0.750 0.000 (multiplicity 2)
6 Br 0.250 0.750 0.500 (multiplicity 2)

Summary:
Uncorrected formation energy = -2.125 eV/atom

No. 4
A plane-wave DFT calculation with GGA-PBEsol was carried out for a relaxed SrBr2 crystal.

a = 7.441 Å, b = 7.441 Å, c = 7.441 Å
α = 90.00°, β = 90.00°, γ = 90.00°
Space group Pa-3 (No. 205)
Inequivalent atoms, fractional coordinates:
1 Sr 0.000 0.000 0.000 (multiplicity 4)
2 Br 0.160 0.660 0.840 (multiplicity 8)

Summary:
Uncorrected formation energy = -2.081 eV/atom

No. 5
A plane-wave DFT calculation with GGA-PBEsol was carried out for a relaxed SrBr3 crystal.

a = 4.412 Å, b = 4.412 Å, c = 24.620 Å
α = 90.00°, β = 90.00°, γ = 90.00°
Space group I4/mmm (No. 139)
Inequivalent atoms, fractional coordinates:
1 Sr 0.000 0.000 0.160 (multiplicity 4)
2 Br 0.000 0.000 0.372 (multiplicity 4)
3 Br 0.000 0.500 0.000 (multiplicity 4)
4 Br 0.000 0.500 0.250 (multiplicity 4)

Summary:
Uncorrected formation energy = -1.353 eV/atom

No. 6
A plane-wave DFT calculation with GGA-PBEsol was carried out for a relaxed SrTc2Br crystal.

a = 3.586 Å, b = 5.744 Å, c = 8.821 Å
α = 90.00°, β = 90.00°, γ = 90.00°
Space group Imm2 (No. 44)
Inequivalent atoms, fractional coordinates:
1 Sr 0.000 0.000 0.000 (multiplicity 2)
2 Tc 0.000 0.000 0.515 (multiplicity 2)
3 Tc 0.000 0.500 0.177 (multiplicity 2)
4 Br 0.000 0.500 0.785 (multiplicity 2)

Summary:
Uncorrected formation energy = 0.505 eV/atom

No. 7
A plane-wave DFT calculation with GGA-PBEsol was carried out for a relaxed SrTc2Br crystal.

a = 3.792 Å, b = 3.792 Å, c = 5.635 Å
α = 90.00°, β = 90.00°, γ = 90.00°
Space group P4/mmm (No. 123)
Inequivalent atoms, fractional coordinates:
1 Sr 0.000 0.000 0.000 (multiplicity 1)
2 Tc 0.000 0.500 0.500 (multiplicity 2)
3 Br 0.500 0.500 0.000 (multiplicity 1)

Summary:
Uncorrected formation energy = 0.708 eV/atom

No. 8
A plane-wave DFT calculation with GGA-PBEsol was carried out for a relaxed SrTc2Br crystal.

a = 3.176 Å, b = 3.176 Å, c = 8.012 Å
α = 90.00°, β = 90.00°, γ = 90.00°
Space group P4mm (No. 99)
Inequivalent atoms, fractional coordinates:
1 Sr 0.000 0.000 0.000 (multiplicity 1)
2 Tc 0.000 0.000 0.441 (multiplicity 1)
3 Tc 0.500 0.500 0.294 (multiplicity 1)
4 Br 0.500 0.500 0.734 (multiplicity 1)

Summary:
Uncorrected formation energy = 0.108 eV/atom

No. 9
A plane-wave DFT calculation with GGA-PBEsol was carried out for a relaxed SrTcBr3 crystal.

a = 5.059 Å, b = 5.059 Å, c = 5.059 Å
α = 90.00°, β = 90.00°, γ = 90.00°
Space group Pm-3m (No. 221)
Inequivalent atoms, fractional coordinates:
1 Sr 0.000 0.000 0.000 (multiplicity 1)
2 Tc 0.500 0.500 0.500 (multiplicity 1)
3 Br 0.000 0.500 0.500 (multiplicity 3)

Summary:
Uncorrected formation energy = -0.511 eV/atom

No. 10
A plane-wave DFT calculation with GGA-PBEsol was carried out for a relaxed SrTc3Br crystal.

a = 5.101 Å, b = 5.101 Å, c = 5.101 Å
α = 90.00°, β = 90.00°, γ = 90.00°
Space group Pm-3m (No. 221)
Inequivalent atoms, fractional coordinates:
1 Sr 0.000 0.000 0.000 (multiplicity 1)
2 Tc 0.000 0.000 0.500 (multiplicity 3)
3 Br 0.500 0.500 0.500 (multiplicity 1)

Summary:
Uncorrected formation energy = 3.160 eV/atom

No. 11
A plane-wave DFT calculation with GGA-PBEsol was carried out for a relaxed SrTe2Br2 crystal.

a = 4.079 Å, b = 4.079 Å, c = 21.810 Å
α = 90.00°, β = 90.00°, γ = 90.00°
Space group I4/mmm (No. 139)
Inequivalent atoms, fractional coordinates:
1 Sr 0.000 0.000 0.000 (multiplicity 2)
2 Te 0.000 0.500 0.250 (multiplicity 4)
3 Br 0.000 0.000 0.424 (multiplicity 4)

Summary:
Uncorrected formation energy = -1.028 eV/atom

No. 12
A plane-wave DFT calculation with GGA-PBEsol was carried out for a relaxed SrTeBr crystal.

a = 7.696 Å, b = 7.696 Å, c = 7.696 Å
α = 90.00°, β = 90.00°, γ = 90.00°
Space group F-43m (No. 216)
Inequivalent atoms, fractional coordinates:
1 Sr 0.000 0.000 0.000 (multiplicity 4)
2 Te 0.250 0.250 0.250 (multiplicity 4)
3 Br 0.000 0.000 0.500 (multiplicity 4)

Summary:
Uncorrected formation energy = -0.869 eV/atom

No. 13
A plane-wave DFT calculation with GGA-PBEsol was carried out for a relaxed SrTi3Br crystal.

a = 4.830 Å, b = 4.830 Å, c = 4.830 Å
α = 90.00°, β = 90.00°, γ = 90.00°
Space group Pm-3m (No. 221)
Inequivalent atoms, fractional coordinates:
1 Sr 0.000 0.000 0.000 (multiplicity 1)
2 Ti 0.000 0.500 0.500 (multiplicity 3)
3 Br 0.500 0.500 0.500 (multiplicity 1)

Summary:
Uncorrected formation energy = 0.454 eV/atom

No. 14
A plane-wave DFT calculation with GGA-PBEsol was carried out for a relaxed SrTl3Br crystal.

a = 6.211 Å, b = 6.211 Å, c = 6.211 Å
α = 90.00°, β = 90.00°, γ = 90.00°
Space group Pm-3m (No. 221)
Inequivalent atoms, fractional coordinates:
1 Sr 0.000 0.000 0.000 (multiplicity 1)
2 Tl 0.000 0.000 0.500 (multiplicity 3)
3 Br 0.500 0.500 0.500 (multiplicity 1)

Summary:
Uncorrected formation energy = 0.448 eV/atom

No. 15
A plane-wave DFT calculation with GGA-PBEsol was carried out for a relaxed Sr2TlBr crystal.

a = 4.605 Å, b = 4.605 Å, c = 6.603 Å
α = 90.00°, β = 90.00°, γ = 90.00°
Space group P4/mmm (No. 123)
Inequivalent atoms, fractional coordinates:
1 Sr 0.000 0.000 0.000 (multiplicity 1)
2 Sr 0.500 0.500 0.500 (multiplicity 1)
3 Tl 0.000 0.000 0.500 (multiplicity 1)
4 Br 0.500 0.500 0.000 (multiplicity 1)

Summary:
Uncorrected formation energy = -0.931 eV/atom

No. 16
A plane-wave DFT calculation with GGA-PBEsol was carried out for a relaxed Sr2TlBr crystal.

a = 4.3384 Å, b = 4.3384 Å, c = 25.4868 Å
α = 90.00°, β = 90.00°, γ = 120.00°
Space group R-3m (No. 166, hexagonal axes)
Inequivalent atoms, fractional coordinates:
1 Sr 0.0000 0.0000 0.2501 (multiplicity 6)
2 Tl 0.0000 0.0000 0.0000 (multiplicity 3)
3 Br 0.0000 0.0000 0.5000 (multiplicity 3)

Summary:
Uncorrected formation energy = -0.970 eV/atom

No. 17
A plane-wave DFT calculation with GGA-PBEsol was carried out for a relaxed Sr2TlBr crystal.

a = 5.473 Å, b = 5.473 Å, c = 8.641 Å
α = 90.00°, β = 90.00°, γ = 90.00°
Space group I4/mmm (No. 139)
Inequivalent atoms, fractional coordinates:
1 Sr 0.000 0.500 0.250 (multiplicity 4)
2 Tl 0.000 0.000 0.000 (multiplicity 2)
3 Br 0.000 0.000 0.500 (multiplicity 2)

Summary:
Uncorrected formation energy = -0.738 eV/atom

No. 18
A plane-wave DFT calculation with GGA-PBEsol was carried out for a relaxed Sr2TlBr crystal.

a = 4.075 Å, b = 3.905 Å, c = 8.837 Å
α = 90.00°, β = 90.21°, γ = 90.00°
Space group P2/m (No. 10)
Inequivalent atoms, fractional coordinates:
1 Sr 0.002 0.000 0.223 (multiplicity 2)
2 Tl 0.500 0.500 0.000 (multiplicity 1)
3 Br 0.000 0.500 0.500 (multiplicity 1)

Summary:
Uncorrected formation energy = -0.985 eV/atom

No. 19
A plane-wave DFT calculation with GGA-PBEsol was carried out for a relaxed SrWBr2 crystal.

a = 4.218 Å, b = 4.218 Å, c = 11.678 Å
α = 90.00°, β = 90.00°, γ = 90.00°
Space group I-4m2 (No. 119)
Inequivalent atoms, fractional coordinates:
1 Sr 0.000 0.000 0.000 (multiplicity 2)
2 W 0.000 0.500 0.250 (multiplicity 2)
3 Br 0.000 0.000 0.500 (multiplicity 2)
4 Br 0.000 0.500 0.750 (multiplicity 2)

Summary:
Uncorrected formation energy = 0.390 eV/atom

No. 20
A plane-wave DFT calculation with GGA-PBEsol was carried out for a relaxed SrWBr2 crystal.

a = 3.367 Å, b = 3.367 Å, c = 8.634 Å
α = 90.00°, β = 90.00°, γ = 90.00°
Space group P4mm (No. 99)
Inequivalent atoms, fractional coordinates:
1 Sr 0.000 0.000 0.000 (multiplicity 1)
2 W 0.500 0.500 0.292 (multiplicity 1)
3 Br 0.000 0.000 0.421 (multiplicity 1)
4 Br 0.500 0.500 0.783 (multiplicity 1)

Summary:
Uncorrected formation energy = -0.019 eV/atom